[1]
VASP calculation (PBE) on crystalline Re2S2NCl11 at its relaxed geometry.

abc: 9.0452 9.0452 11.8399
angles: 101.93 101.93 93.65
With the nearest neighbours (Å) after each atom.
Fractional coordinates of all 32 atoms:
Re (0.0756, 0.7284, 0.7815)  6 Cl 2.31-2.43
Re (0.2716, 0.9244, 0.7185)  6 Cl 2.31-2.43
Re (0.7284, 0.0756, 0.2815)  6 Cl 2.31-2.43
Re (0.9244, 0.2716, 0.2185)  6 Cl 2.31-2.43
S (0.2452, 0.6012, 0.1252)  1 N 1.54
S (0.3988, 0.7548, 0.3748)  1 N 1.54
S (0.6012, 0.2452, 0.6252)  1 N 1.54
S (0.7548, 0.3988, 0.8748)  1 N 1.54
N (0.2929, 0.7071, 0.2500)  2 S 1.54
N (0.7071, 0.2929, 0.7500)  2 S 1.54
Cl (0.0142, 0.2217, 0.0466)  1 Re 2.31
Cl (0.0219, 0.9781, 0.7500)  2 Re 2.43
Cl (0.1305, 0.4901, 0.8111)  1 Re 2.32
Cl (0.1654, 0.3680, 0.3305)  1 Re 2.31
Cl (0.1678, 0.6725, 0.6000)  2 Re 2.43
Cl (0.2217, 0.0142, 0.5466)  1 Re 2.31
Cl (0.3275, 0.8322, 0.9000)  2 Re 2.43
Cl (0.3680, 0.1654, 0.8305)  1 Re 2.31
Cl (0.3883, 0.4406, 0.1034)  1 S 2.02
Cl (0.4406, 0.3883, 0.6034)  1 S 2.02
Cl (0.4901, 0.1305, 0.3111)  1 Re 2.32
Cl (0.5099, 0.8695, 0.6889)  1 Re 2.32
Cl (0.5594, 0.6117, 0.3966)  1 S 2.02
Cl (0.6117, 0.5594, 0.8966)  1 S 2.02
Cl (0.6320, 0.8346, 0.1695)  1 Re 2.31
Cl (0.6725, 0.1678, 0.1000)  2 Re 2.43
Cl (0.7783, 0.9858, 0.4534)  1 Re 2.31
Cl (0.8322, 0.3275, 0.4000)  2 Re 2.43
Cl (0.8346, 0.6320, 0.6695)  1 Re 2.31
Cl (0.8695, 0.5099, 0.1889)  1 Re 2.32
Cl (0.9781, 0.0219, 0.2500)  2 Re 2.43
Cl (0.9858, 0.7783, 0.9534)  1 Re 2.31

Summary:
Symmetry: C2/c (15)
Raw total energy, eV/atom: -4.252


[2]
VASP calculation (PBE) on crystalline TlRe2N2Cl6 at its relaxed geometry.

abc: 6.7605 6.7605 10.6427
angles: 106.82 106.82 32.55
With the nearest neighbours (Å) after each atom.
Fractional coordinates of all 11 atoms:
Tl (0.0000, 0.0000, 0.0000)  8 Cl 3.22-3.34
Re (0.4963, 0.4963, 0.3629)  2 N 1.89
Re (0.5037, 0.5037, 0.6371)  2 N 1.89
N (0.0035, 0.0035, 0.6370)  2 Re 1.89
N (0.9965, 0.9965, 0.3630)  2 Re 1.89
Cl (0.3460, 0.3460, 0.4485)  2 Re 2.39-2.40
Cl (0.3618, 0.3618, 0.1518)  1 Re 2.39
Cl (0.3744, 0.3744, 0.7572)  1 Re 2.40
Cl (0.6256, 0.6256, 0.2428)  1 Re 2.40
Cl (0.6382, 0.6382, 0.8482)  1 Re 2.39
Cl (0.6540, 0.6540, 0.5515)  2 Re 2.39-2.40

Summary:
Symmetry: C2/m (12)
Raw total energy, eV/atom: -5.450


[3]
VASP calculation (PBE) on crystalline WS2N3Cl3 at its relaxed geometry.

abc: 7.4915 9.3126 12.7224
angles: 90.00 121.65 90.00
With the nearest neighbours (Å) after each atom.
Fractional coordinates of all 36 atoms:
W (0.0133, 0.1332, 0.4098)  2 N 1.80-1.96
W (0.0133, 0.3668, 0.9098)  2 N 1.80-1.96
W (0.9867, 0.6332, 0.0902)  2 N 1.80-1.96
W (0.9867, 0.8668, 0.5902)  2 N 1.80-1.96
S (0.2505, 0.5799, 0.6192)  2 N 1.60-1.61
S (0.2505, 0.9201, 0.1192)  2 N 1.60-1.61
S (0.2598, 0.6947, 0.9644)  2 N 1.56-1.62
S (0.2598, 0.8053, 0.4644)  2 N 1.56-1.62
S (0.7402, 0.1947, 0.5356)  2 N 1.56-1.62
S (0.7402, 0.3053, 0.0356)  2 N 1.56-1.62
S (0.7495, 0.0799, 0.8808)  2 N 1.60-1.61
S (0.7495, 0.4201, 0.3808)  2 N 1.60-1.61
N (0.1038, 0.6910, 0.6364)  1 S 1.61
N (0.1038, 0.8090, 0.1364)  1 S 1.61
N (0.1157, 0.5935, 0.9934)  1 S 1.62
N (0.1157, 0.9065, 0.4934)  1 S 1.62
N (0.3107, 0.6548, 0.5286)  2 S 1.56-1.60
N (0.3107, 0.8452, 0.0286)  2 S 1.56-1.60
N (0.6893, 0.1548, 0.9714)  2 S 1.56-1.60
N (0.6893, 0.3452, 0.4714)  2 S 1.56-1.60
N (0.8843, 0.0935, 0.5066)  1 S 1.62
N (0.8843, 0.4065, 0.0066)  1 S 1.62
N (0.8962, 0.1910, 0.8636)  1 S 1.61
N (0.8962, 0.3090, 0.3636)  1 S 1.61
Cl (0.2270, 0.1047, 0.3225)  1 W 2.39
Cl (0.2270, 0.3953, 0.8225)  1 W 2.39
Cl (0.2411, 0.5122, 0.2661)  1 W 2.33
Cl (0.2411, 0.9878, 0.7661)  1 W 2.33
Cl (0.3269, 0.2150, 0.5845)  1 W 2.36
Cl (0.3269, 0.2850, 0.0845)  1 W 2.36
Cl (0.6731, 0.7150, 0.9155)  1 W 2.36
Cl (0.6731, 0.7850, 0.4155)  1 W 2.36
Cl (0.7589, 0.0122, 0.2339)  1 W 2.33
Cl (0.7589, 0.4878, 0.7339)  1 W 2.33
Cl (0.7730, 0.6047, 0.1775)  1 W 2.39
Cl (0.7730, 0.8953, 0.6775)  1 W 2.39

Summary:
Symmetry: P2_1/c (14)
Raw total energy, eV/atom: -5.966


Number 1: mass density 3.0 Mg/m³. Number 2: mass density 5.4 Mg/m³. Number 3: mass density 3.5 Mg/m³.